Compound: CsPaTe3
Source: OQMD via LeMat-Bulk
Functional: PBE-GGA
Structure: optimized geometry

Lattice parameters (Å, degrees): 5.9652 5.9652 5.9652 90.00 90.00 90.00
Atoms (fractional coordinates):
Cs: 0.0000 0.0000 0.0000
Pa: 0.5000 0.5000 0.5000
Te: 0.0000 0.5000 0.5000
Te: 0.5000 0.0000 0.5000
Te: 0.5000 0.5000 0.0000

Computed properties:
Density ... 5.8 g/cm³
Total DFT energy (no corrections) ... -24.6 eV for the cell shown